Record 1
A geometry-optimized ScCoMo2 structure. Source: Alexandria via LeMat-Bulk, functional GGA-PBE.

abc: 7.3277 7.3277 5.7458
angles: 50.38 50.38 90.00
Closest atoms and distances in Å follow each position.
Fractional coordinates of all 8 atoms:
Sc 0.5000 0.5000 0.0000  2 Co 2.48
Sc 0.2500 0.7500 0.5000  2 Co 2.48
Mo 0.6721 0.1250 0.2500  2 Co 2.44, 2 Mo 2.58
Mo 0.0779 0.6250 0.2500  2 Co 2.44, 2 Mo 2.58
Mo 0.3750 0.3279 0.7500  2 Co 2.44, 2 Mo 2.58
Mo 0.8750 0.9221 0.7500  2 Co 2.44, 2 Mo 2.58
Co 0.0000 0.0000 0.0000  4 Mo 2.44, 2 Sc 2.48
Co 0.7500 0.2500 0.5000  4 Mo 2.44, 2 Sc 2.48

Computed properties:
Volume = 133.33 Å³/cell
ΔE_f = 0.412 eV/atom
Energy relative to the lowest polymorph listed for this composition = 396 meV per atom


Record 2
A geometry-optimized BaCaTc structure. Source: Alexandria via LeMat-Bulk, functional GGA-PBE.

abc: 7.9117 7.9117 3.6001
angles: 76.85 76.85 26.30
Closest atoms and distances in Å follow each position.
Fractional coordinates of all 3 atoms:
Ca 0.2891 0.2891 0.7109  4 Tc 3.07
Ba 0.0360 0.0360 0.9640  4 Tc 3.29, 4 Ba 3.60
Tc 0.6749 0.6749 0.3251  4 Ca 3.07, 4 Ba 3.29

Computed properties:
Volume = 97.09 Å³/cell
ΔE_f = 0.739 eV/atom
Energy relative to the lowest polymorph listed for this composition = 0 meV per atom


Record 3
A geometry-optimized ZnRePd2 structure. Source: Alexandria via LeMat-Bulk, functional GGA-PBE.

abc: 3.7930 3.7930 9.3210
angles: 78.26 78.26 90.00
Closest atoms and distances in Å follow each position.
Fractional coordinates of all 8 atoms:
Re 0.0000 0.0000 0.0000  4 Pd 2.60, 4 Zn 2.68
Re 0.7500 0.2500 0.5000  4 Pd 2.60, 4 Zn 2.68
Zn 0.5000 0.5000 0.0000  4 Pd 2.60, 4 Re 2.68
Zn 0.2500 0.7500 0.5000  4 Pd 2.60, 4 Re 2.68
Pd 0.6247 0.1250 0.2500  2 Zn 2.60, 2 Re 2.60, 4 Pd 2.68
Pd 0.1253 0.6250 0.2500  2 Zn 2.60, 2 Re 2.60, 4 Pd 2.68
Pd 0.3750 0.3753 0.7500  2 Zn 2.60, 2 Re 2.60, 4 Pd 2.68
Pd 0.8750 0.8747 0.7500  2 Zn 2.60, 2 Re 2.60, 4 Pd 2.68

Computed properties:
Volume = 128.43 Å³/cell
ΔE_f = 0.510 eV/atom


Record 4
A geometry-optimized Zn3SeN structure. Source: Alexandria via LeMat-Bulk, functional GGA-PBE.

abc: 4.8360 4.8360 4.8360
angles: 90.00 90.00 90.00
Closest atoms and distances in Å follow each position.
Fractional coordinates of all 5 atoms:
Zn 0.0000 0.5000 0.0000  2 Se 2.42
Zn 0.0000 0.0000 0.5000  2 Se 2.42
Zn 0.5000 0.0000 0.0000  2 Se 2.42
Se 0.0000 0.0000 0.0000  6 Zn 2.42
N 0.5000 0.5000 0.5000  12 Zn 3.42

Computed properties:
Volume = 113.10 Å³/cell
Energy relative to the lowest polymorph listed for this composition = 1284 meV per atom


Values of total DFT energy (no corrections), in order: -8.363 -4.025 -5.517 -1.702, all in eV per atom.